# 1
# Pu2MnPt3 (GGA-PBE, optimized geometry)
data_Pu2MnPt3
_chemical_formula_sum 'Pu2 Mn1 Pt3'
_symmetry_space_group_name_H-M 'P 1'
_symmetry_Int_Tables_number 1
_symmetry_space_group_name_Hall 'P 1'
_cell_length_a 5.584
_cell_length_b 5.584
_cell_length_c 5.286
_cell_angle_alpha 90.00
_cell_angle_beta 121.89
_cell_angle_gamma 120.00
loop_
_atom_site_label
_atom_site_type_symbol
_atom_site_fract_x
_atom_site_fract_y
_atom_site_fract_z
Pt1 Pt 0.500 0.000 0.500
Pt2 Pt 0.000 0.000 0.500
Pu1 Pu 0.756 0.378 0.134
Pt3 Pt 0.500 0.500 0.500
Mn1 Mn 0.000 0.000 0.000
Pu2 Pu 0.244 0.622 0.866
# - Excess energy over the best structure of this formula in the dataset: 0 meV per atom
# - Energy of formation: -0.653 eV per atom
# - SG: R-3m (166)
# - D(E_F): 20.3 states/eV/f.u.

***

# 2
# PuMnPt (GGA-PBE, optimized geometry)
data_PuMnPt
_chemical_formula_sum 'Pu2 Mn2 Pt2'
_symmetry_space_group_name_H-M 'P 1'
_symmetry_Int_Tables_number 1
_symmetry_space_group_name_Hall 'P 1'
_cell_length_a 4.298
_cell_length_b 6.144
_cell_length_c 6.860
_cell_angle_alpha 129.88
_cell_angle_beta 90.00
_cell_angle_gamma 110.48
loop_
_atom_site_label
_atom_site_type_symbol
_atom_site_fract_x
_atom_site_fract_y
_atom_site_fract_z
Pu1 Pu 0.943 0.886 0.192
Pt1 Pt 0.660 0.320 0.632
Pt2 Pt 0.340 0.680 0.368
Mn1 Mn 0.678 0.356 0.274
Pu2 Pu 0.057 0.114 0.808
Mn2 Mn 0.322 0.644 0.726
# - Energy of formation: -0.230 eV per atom
# - SG: C2/m (12)
# - D(E_F): 12.4 states/eV/f.u.

***

# 3
# Pu4MnPt3 (GGA-PBE, optimized geometry)
data_Pu4MnPt3
_chemical_formula_sum 'Pu4 Mn1 Pt3'
_symmetry_space_group_name_H-M 'P 1'
_symmetry_Int_Tables_number 1
_symmetry_space_group_name_Hall 'P 1'
_cell_length_a 4.953
_cell_length_b 4.961
_cell_length_c 7.747
_cell_angle_alpha 108.79
_cell_angle_beta 108.65
_cell_angle_gamma 89.76
loop_
_atom_site_label
_atom_site_type_symbol
_atom_site_fract_x
_atom_site_fract_y
_atom_site_fract_z
Pu1 Pu 0.124 0.124 0.248
Pu2 Pu 0.876 0.876 0.752
Pu3 Pu 0.624 0.624 0.248
Mn1 Mn 0.500 0.000 0.000
Pt1 Pt 0.000 0.500 0.000
Pu4 Pu 0.376 0.376 0.752
Pt2 Pt 0.258 0.759 0.517
Pt3 Pt 0.742 0.241 0.483
# - Energy of formation: -0.513 eV per atom
# - SG: C2/m (12)
# - D(E_F): 30.6 states/eV/f.u.

***

# 4
# PuMnPt (GGA-PBE, optimized geometry)
data_PuMnPt
_chemical_formula_sum 'Pu1 Mn1 Pt1'
_symmetry_space_group_name_H-M 'P 1'
_symmetry_Int_Tables_number 1
_symmetry_space_group_name_Hall 'P 1'
_cell_length_a 3.576
_cell_length_b 4.424
_cell_length_c 4.424
_cell_angle_alpha 120.00
_cell_angle_beta 90.00
_cell_angle_gamma 90.00
loop_
_atom_site_label
_atom_site_type_symbol
_atom_site_fract_x
_atom_site_fract_y
_atom_site_fract_z
Mn1 Mn 0.167 0.333 0.667
Pt1 Pt 0.167 0.000 0.000
Pu1 Pu 0.667 0.667 0.333
# - Energy of formation: -0.140 eV per atom
# - SG: P-6m2 (187)
# - D(E_F): 13.0 states/eV/f.u.

***

# 5
# Pu2MnPt (GGA-PBE, optimized geometry)
data_Pu2MnPt
_chemical_formula_sum 'Pu2 Mn1 Pt1'
_symmetry_space_group_name_H-M 'P 1'
_symmetry_Int_Tables_number 1
_symmetry_space_group_name_Hall 'P 1'
_cell_length_a 4.702
_cell_length_b 4.134
_cell_length_c 4.134
_cell_angle_alpha 90.00
_cell_angle_beta 90.00
_cell_angle_gamma 90.00
loop_
_atom_site_label
_atom_site_type_symbol
_atom_site_fract_x
_atom_site_fract_y
_atom_site_fract_z
Pt1 Pt 0.500 0.500 0.500
Pu1 Pu 0.000 0.500 0.000
Pu2 Pu 0.000 0.000 0.500
Mn1 Mn 0.500 0.000 0.000
# - Energy of formation: -0.009 eV per atom
# - SG: P4/mmm (123)
# - D(E_F): 13.3 states/eV/f.u.

***

# 6
# PuMnPt (GGA-PBE, optimized geometry)
data_PuMnPt
_chemical_formula_sum 'Pu1 Mn1 Pt1'
_symmetry_space_group_name_H-M 'P 1'
_symmetry_Int_Tables_number 1
_symmetry_space_group_name_Hall 'P 1'
_cell_length_a 3.355
_cell_length_b 3.355
_cell_length_c 5.869
_cell_angle_alpha 106.61
_cell_angle_beta 106.61
_cell_angle_gamma 90.00
loop_
_atom_site_label
_atom_site_type_symbol
_atom_site_fract_x
_atom_site_fract_y
_atom_site_fract_z
Pt1 Pt 0.258 0.258 0.517
Mn1 Mn 0.651 0.651 0.302
Pu1 Pu 0.941 0.941 0.882
# - Energy of formation: -0.098 eV per atom
# - SG: I4mm (107)
# - D(E_F): 9.1 states/eV/f.u.

***

# 7
# PuMnPt4 (GGA-PBE, optimized geometry)
data_PuMnPt4
_chemical_formula_sum 'Pu1 Mn1 Pt4'
_symmetry_space_group_name_H-M 'P 1'
_symmetry_Int_Tables_number 1
_symmetry_space_group_name_Hall 'P 1'
_cell_length_a 5.364
_cell_length_b 5.364
_cell_length_c 5.364
_cell_angle_alpha 60.00
_cell_angle_beta 60.00
_cell_angle_gamma 60.00
loop_
_atom_site_label
_atom_site_type_symbol
_atom_site_fract_x
_atom_site_fract_y
_atom_site_fract_z
Pt1 Pt 0.124 0.625 0.625
Pt2 Pt 0.625 0.625 0.625
Pt3 Pt 0.625 0.625 0.124
Mn1 Mn 0.000 0.000 0.000
Pu1 Pu 0.250 0.250 0.250
Pt4 Pt 0.625 0.124 0.625
# - Energy of formation: -0.488 eV per atom
# - SG: F-43m (216)
# - D(E_F): 16.5 states/eV/f.u.

***

# 8
# PuMnPtRh (GGA-PBE, optimized geometry)
data_PuMnPtRh
_chemical_formula_sum 'Pu1 Mn1 Pt1 Rh1'
_symmetry_space_group_name_H-M 'P 1'
_symmetry_Int_Tables_number 1
_symmetry_space_group_name_Hall 'P 1'
_cell_length_a 4.672
_cell_length_b 4.672
_cell_length_c 4.672
_cell_angle_alpha 60.00
_cell_angle_beta 60.00
_cell_angle_gamma 60.00
loop_
_atom_site_label
_atom_site_type_symbol
_atom_site_fract_x
_atom_site_fract_y
_atom_site_fract_z
Pt1 Pt 0.500 0.500 0.500
Pu1 Pu 0.250 0.250 0.250
Rh1 Rh 0.000 0.000 0.000
Mn1 Mn 0.750 0.750 0.750
# - Energy of formation: -0.337 eV per atom
# - SG: F-43m (216)
# - D(E_F): 7.1 states/eV/f.u.

***

# 9
# PuMnRuPt (GGA-PBE, optimized geometry)
data_PuMnRuPt
_chemical_formula_sum 'Pu1 Mn1 Ru1 Pt1'
_symmetry_space_group_name_H-M 'P 1'
_symmetry_Int_Tables_number 1
_symmetry_space_group_name_Hall 'P 1'
_cell_length_a 4.632
_cell_length_b 4.632
_cell_length_c 4.632
_cell_angle_alpha 60.00
_cell_angle_beta 60.00
_cell_angle_gamma 60.00
loop_
_atom_site_label
_atom_site_type_symbol
_atom_site_fract_x
_atom_site_fract_y
_atom_site_fract_z
Pt1 Pt 0.250 0.250 0.250
Mn1 Mn 0.500 0.500 0.500
Pu1 Pu 0.000 0.000 0.000
Ru1 Ru 0.750 0.750 0.750
# - Energy of formation: -0.187 eV per atom
# - SG: F-43m (216)
# - D(E_F): 5.2 states/eV/f.u.

***

# 10
# PuScMnPt (GGA-PBE, optimized geometry)
data_PuScMnPt
_chemical_formula_sum 'Pu1 Sc1 Mn1 Pt1'
_symmetry_space_group_name_H-M 'P 1'
_symmetry_Int_Tables_number 1
_symmetry_space_group_name_Hall 'P 1'
_cell_length_a 4.748
_cell_length_b 4.748
_cell_length_c 4.748
_cell_angle_alpha 60.00
_cell_angle_beta 60.00
_cell_angle_gamma 60.00
loop_
_atom_site_label
_atom_site_type_symbol
_atom_site_fract_x
_atom_site_fract_y
_atom_site_fract_z
Sc1 Sc 0.500 0.500 0.500
Mn1 Mn 0.750 0.750 0.750
Pu1 Pu 0.000 0.000 0.000
Pt1 Pt 0.250 0.250 0.250
# - Energy of formation: -0.426 eV per atom
# - SG: F-43m (216)
# - D(E_F): 6.6 states/eV/f.u.

***

# 11
# Pu2MnSi3Pt12 (GGA-PBE, optimized geometry)
data_Pu2MnSi3Pt12
_chemical_formula_sum 'Pu2 Mn1 Si3 Pt12'
_symmetry_space_group_name_H-M 'P 1'
_symmetry_Int_Tables_number 1
_symmetry_space_group_name_Hall 'P 1'
_cell_length_a 7.618
_cell_length_b 7.618
_cell_length_c 7.618
_cell_angle_alpha 65.11
_cell_angle_beta 65.11
_cell_angle_gamma 65.11
loop_
_atom_site_label
_atom_site_type_symbol
_atom_site_fract_x
_atom_site_fract_y
_atom_site_fract_z
Pt1 Pt 0.379 0.865 0.865
Pt2 Pt 0.641 0.107 0.641
Si1 Si 0.500 0.000 0.000
Pt3 Pt 0.107 0.641 0.641
Pt4 Pt 0.135 0.135 0.621
Pt5 Pt 0.865 0.379 0.865
Pt6 Pt 0.865 0.865 0.379
Pt7 Pt 0.893 0.359 0.359
Pt8 Pt 0.359 0.359 0.893
Si2 Si 0.000 0.000 0.500
Pu1 Pu 0.612 0.612 0.612
Pt9 Pt 0.621 0.135 0.135
Mn1 Mn 0.000 0.000 0.000
Si3 Si 0.000 0.500 0.000
Pt10 Pt 0.135 0.621 0.135
Pu2 Pu 0.388 0.388 0.388
Pt11 Pt 0.641 0.641 0.107
Pt12 Pt 0.359 0.893 0.359
# - Raw total energy: -7.412 eV per atom
# - SG: R-3m (166)
# - D(E_F): 32.6 states/eV/f.u.

***

# 12
# Pu2MnSi3Pt4 (GGA-PBE, optimized geometry)
data_Pu2MnSi3Pt4
_chemical_formula_sum 'Pu2 Mn1 Si3 Pt4'
_symmetry_space_group_name_H-M 'P 1'
_symmetry_Int_Tables_number 1
_symmetry_space_group_name_Hall 'P 1'
_cell_length_a 4.172
_cell_length_b 4.172
_cell_length_c 10.265
_cell_angle_alpha 90.00
_cell_angle_beta 90.00
_cell_angle_gamma 90.00
loop_
_atom_site_label
_atom_site_type_symbol
_atom_site_fract_x
_atom_site_fract_y
_atom_site_fract_z
Si1 Si 0.500 0.000 0.869
Si2 Si 0.000 0.500 0.131
Mn1 Mn 0.500 0.500 0.500
Pt1 Pt 0.000 0.500 0.362
Pu1 Pu 0.000 0.500 0.747
Pt2 Pt 0.500 0.500 0.000
Pt3 Pt 0.500 0.000 0.638
Pt4 Pt 0.000 0.000 0.000
Si3 Si 0.000 0.000 0.500
Pu2 Pu 0.500 0.000 0.253
# - Raw total energy: -8.596 eV per atom
# - SG: P-4m2 (115)
# - D(E_F): 28.6 states/eV/f.u.

***

# 13
# PuUMnPt (GGA-PBE, optimized geometry)
data_PuUMnPt
_chemical_formula_sum 'Pu1 U1 Mn1 Pt1'
_symmetry_space_group_name_H-M 'P 1'
_symmetry_Int_Tables_number 1
_symmetry_space_group_name_Hall 'P 1'
_cell_length_a 4.639
_cell_length_b 4.639
_cell_length_c 4.639
_cell_angle_alpha 60.00
_cell_angle_beta 60.00
_cell_angle_gamma 60.00
loop_
_atom_site_label
_atom_site_type_symbol
_atom_site_fract_x
_atom_site_fract_y
_atom_site_fract_z
Pu1 Pu 0.750 0.750 0.750
Pt1 Pt 0.000 0.000 0.000
Mn1 Mn 0.250 0.250 0.250
U1 U 0.500 0.500 0.500
# - Energy of formation: -0.395 eV per atom
# - SG: F-43m (216)
# - D(E_F): 6.2 states/eV/f.u.

***

# 14
# RbMn3Pt (GGA-PBE, optimized geometry)
data_RbMn3Pt
_chemical_formula_sum 'Rb1 Mn3 Pt1'
_symmetry_space_group_name_H-M 'P 1'
_symmetry_Int_Tables_number 1
_symmetry_space_group_name_Hall 'P 1'
_cell_length_a 5.095
_cell_length_b 5.095
_cell_length_c 5.095
_cell_angle_alpha 90.00
_cell_angle_beta 90.00
_cell_angle_gamma 90.00
loop_
_atom_site_label
_atom_site_type_symbol
_atom_site_fract_x
_atom_site_fract_y
_atom_site_fract_z
Mn1 Mn 0.000 0.500 0.000
Mn2 Mn 0.500 0.000 0.000
Rb1 Rb 0.500 0.500 0.500
Mn3 Mn 0.000 0.000 0.500
Pt1 Pt 0.000 0.000 0.000
# - Excess energy over the best structure of this formula in the dataset: 0 meV per atom
# - Energy of formation: 0.603 eV per atom
# - SG: Pm-3m (221)
# - D(E_F): 2.7 states/eV/f.u.